(1)
Computed, not measured: crystalline Mg2ReTe at its relaxed geometry at the GGA-PBE level of DFT.

Cell lengths 4.542, 3.246, 5.650 Å; angles 73.40, 90.00, 90.00 degrees
Fractional positions:
Te 0.500 0.564 0.747
Mg 0.500 0.292 0.289
Mg 0.000 0.953 0.972
Re 0.000 0.691 0.493

Properties
The calculation puts the density of states at the Fermi level at 2.97 states/eV/f.u. Its symmetry is No. 6. As for the calculated density: 7.5 g/cm3. The formation energy from raw total energies comes out at 0.310 eV/atom.

(2)
Computed, not measured: crystalline Mg2ReTe at its relaxed geometry at the GGA-PBE level of DFT.

Cell lengths 5.388, 5.388, 5.388 Å; angles 135.99, 135.99, 64.00 degrees
Fractional positions:
Re 0.250 0.750 0.500
Mg 0.500 0.500 0.000
Mg 0.000 0.000 0.000
Te 0.750 0.250 0.500

Properties
The calculation puts the density of states at the Fermi level at 3.07 states/eV/f.u. Its symmetry is No. 139. As for the calculated density: 8.1 g/cm3. The formation energy from raw total energies comes out at 0.408 eV/atom.

(3)
Computed, not measured: crystalline Mg3ReTe at its relaxed geometry at the GGA-PBE level of DFT.

Cell lengths 5.134, 5.134, 5.134 Å; angles 90.00, 90.00, 90.00 degrees
Each line ends with the local moment (μB).
Fractional positions:
Mg 0.500 0.000 0.000  -0.02
Mg 0.000 0.000 0.500  -0.01
Te 0.500 0.500 0.500  0.07
Re 0.000 0.000 0.000  0.93
Mg 0.000 0.500 0.000  -0.01

Properties
The calculation puts the density of states at the Fermi level at 5.43 states/eV/f.u. Its symmetry is No. 221. As for the calculated density: 4.7 g/cm3. The formation energy from raw total energies comes out at 0.857 eV/atom. The energy above the lowest structure with this stoichiometry comes out at 0 meV per atom.

(4)
Computed, not measured: crystalline Mg2ReTe at its relaxed geometry at the GGA-PBE level of DFT.

Cell lengths 4.743, 4.743, 4.743 Å; angles 60.00, 60.00, 60.00 degrees
Each line ends with the local moment (μB).
Fractional positions:
Te 0.250 0.250 0.250  -0.01
Mg 0.000 0.000 0.000  0.00
Mg 0.750 0.750 0.750  0.00
Re 0.500 0.500 0.500  -0.26

Properties
The calculation puts the density of states at the Fermi level at 4.59 states/eV/f.u. Its symmetry is No. 216. As for the calculated density: 8.0 g/cm3. The formation energy from raw total energies comes out at 0.507 eV/atom.